1.
Below is Ho3Mg3GaAgPd after structural relaxation, with properties calculated at the PBE level.

Properties
As for the space group: P-6. The value obtained for the total energy is -3.75 eV per atom.

a = 7.667 Å, b = 7.667 Å, c = 3.983 Å
α = 90.00°, β = 90.00°, γ = 120.00°
Fractional coordinates of all 9 atoms:
Mg (0.750, 0.003, 0.500)
Mg (0.253, 0.250, 0.500)
Mg (0.997, 0.747, 0.500)
Ho (0.409, 0.986, 0.000)
Ho (0.014, 0.423, 0.000)
Ho (0.577, 0.591, 0.000)
Pd (0.333, 0.667, 0.500)
Ga (0.667, 0.333, 0.500)
Ag (0.000, 0.000, 0.000)

---

2.
Below is Ho3Mg3GaAgPt after structural relaxation, with properties calculated at the PBE level.

Properties
As for the space group: P-6. The value obtained for the total energy is -3.95 eV per atom.

a = 7.670 Å, b = 7.670 Å, c = 3.957 Å
α = 90.00°, β = 90.00°, γ = 120.00°
Fractional coordinates of all 9 atoms:
Ag (0.000, 0.000, 0.500)
Ga (0.333, 0.667, 0.000)
Ho (0.981, 0.407, 0.500)
Ho (0.426, 0.019, 0.500)
Ho (0.593, 0.574, 0.500)
Mg (0.745, 0.996, 0.000)
Mg (0.251, 0.255, 0.000)
Mg (0.004, 0.749, 0.000)
Pt (0.667, 0.333, 0.000)

---

3.
Below is Ho3Mg3TlGaAg after structural relaxation, with properties calculated at the PBE level.

Properties
As for the space group: P-6. The value obtained for the total energy is -3.34 eV per atom.

a = 7.480 Å, b = 7.480 Å, c = 4.384 Å
α = 90.00°, β = 90.00°, γ = 120.00°
Fractional coordinates of all 9 atoms:
Mg (0.760, 0.005, 0.500)
Mg (0.995, 0.755, 0.500)
Mg (0.245, 0.240, 0.500)
Ga (0.667, 0.333, 0.500)
Ag (0.000, 0.000, 0.000)
Tl (0.333, 0.667, 0.500)
Ho (0.427, 0.015, 0.000)
Ho (0.985, 0.412, 0.000)
Ho (0.588, 0.573, 0.000)

---

4.
Below is HoGaAg2O4 after structural relaxation, with properties calculated at the PBE level.

Properties
As for the space group: P-3m1. The value obtained for the total energy is -5.79 eV per atom.

a = 3.229 Å, b = 3.229 Å, c = 12.563 Å
α = 90.00°, β = 90.00°, γ = 120.00°
Fractional coordinates of all 8 atoms:
O (0.667, 0.333, 0.926)
O (0.333, 0.667, 0.074)
O (0.333, 0.667, 0.407)
O (0.667, 0.333, 0.593)
Ho (0.000, 0.000, 0.500)
Ag (0.667, 0.333, 0.759)
Ag (0.333, 0.667, 0.241)
Ga (0.000, 0.000, 0.000)

---

5.
Below is TbHo2Ga3AgPd2 after structural relaxation, with properties calculated at the PBE level.

Properties
As for the space group: Amm2. The value obtained for the total energy is -4.75 eV per atom.

a = 3.708 Å, b = 7.538 Å, c = 7.538 Å
α = 120.09°, β = 90.00°, γ = 90.00°
Fractional coordinates of all 9 atoms:
Ho (0.500, 0.592, 0.000)
Ho (0.500, 0.000, 0.592)
Tb (0.500, 0.408, 0.408)
Ga (0.000, 0.730, 0.730)
Ga (0.000, 0.270, 0.999)
Ga (0.000, 0.999, 0.270)
Pd (0.000, 0.668, 0.333)
Pd (0.000, 0.333, 0.668)
Ag (0.500, 0.999, 0.999)

---

6.
Below is Tb2HoGa3AgPt2 after structural relaxation, with properties calculated at the PBE level.

Properties
As for the space group: Amm2. The value obtained for the total energy is -5.10 eV per atom.

a = 3.741 Å, b = 7.511 Å, c = 7.511 Å
α = 119.91°, β = 90.00°, γ = 90.00°
Fractional coordinates of all 9 atoms:
Tb (0.000, 0.000, 0.408)
Tb (0.000, 0.408, 0.000)
Ga (0.500, 0.730, 0.999)
Ga (0.500, 0.999, 0.730)
Ga (0.500, 0.271, 0.271)
Ag (0.000, 0.999, 0.999)
Ho (0.000, 0.592, 0.592)
Pt (0.500, 0.666, 0.335)
Pt (0.500, 0.335, 0.666)

---

7.
Below is TbHo2Ga3AgPt2 after structural relaxation, with properties calculated at the PBE level.

Properties
As for the space group: Amm2. The value obtained for the total energy is -5.09 eV per atom.

a = 3.722 Å, b = 7.512 Å, c = 7.512 Å
α = 120.09°, β = 90.00°, γ = 90.00°
Fractional coordinates of all 9 atoms:
Tb (0.000, 0.592, 0.592)
Ho (0.000, 0.408, 0.000)
Ho (0.000, 0.000, 0.408)
Pt (0.500, 0.332, 0.667)
Pt (0.500, 0.667, 0.332)
Ga (0.500, 0.270, 0.270)
Ga (0.500, 0.729, 0.001)
Ga (0.500, 0.001, 0.729)
Ag (0.000, 0.001, 0.001)

---

8.
Below is SmHoGa2Ag2 after structural relaxation, with properties calculated at the PBE level.

Properties
The energy above the most stable polymorph in this dataset is 0 meV/atom. As for the space group: P-6m2. The value obtained for the total energy is -4.00 eV per atom.

a = 4.601 Å, b = 4.601 Å, c = 7.117 Å
α = 90.00°, β = 90.00°, γ = 120.00°
Fractional coordinates of all 6 atoms:
Ag (0.333, 0.667, 0.242)
Ag (0.333, 0.667, 0.758)
Sm (0.000, 0.000, 0.000)
Ga (0.667, 0.333, 0.283)
Ga (0.667, 0.333, 0.717)
Ho (0.000, 0.000, 0.500)

---

Theoretical density
In order: 6.975 7.747 7.425 7.530 9.278 10.802 10.927 8.533
Unit: g cm⁻³